A geometry-optimized CuNi2I structure, computed with PBE-GGA.

a b c (Å): 4.3468 4.3468 4.3468
angles (deg): 60.00 60.00 60.00
Element x y z (fractional)
I 0.5000 0.5000 0.5000
Ni 0.2500 0.2500 0.2500
Ni 0.7500 0.7500 0.7500
Cu 0.0000 0.0000 0.0000

Values from the calculation:
Raw formation energy   54 kJ/mol of atoms
Space group   Fm-3m (225)
ΔE to the lowest computed polymorph   0.0 meV/atom
Total magnetization   0.0 μB per formula unit